(1)
Density functional theory data (SCAN) for a PBEsol-optimized structure of SrAs2Pt.

abc: 4.3320 4.5646 9.4612
angles: 90.00 90.00 90.00
Last column: nearest neighbours and their distance in Å.
Space group Imm2 (No. 44)
One atom of each set of equivalent atoms:
Sr 0.0000 0.0000 0.0000  9 As 3.21-3.51, 4 Pt 3.21-3.28
As 0.0000 0.0000 0.6290  2 Pt 2.40, 2 As 2.60
As 0.0000 0.5000 0.7614  2 As 2.60
Pt 0.0000 0.5000 0.2390  2 As 2.40

Formation energy from the elements, eV/atom: -0.608



(2)
Density functional theory data (SCAN) for a PBEsol-optimized structure of TaAl4Ni.

abc: 7.1140 7.1140 7.1140
angles: 90.00 90.00 90.00
Last column: nearest neighbours and their distance in Å.
Space group F-43m (No. 216)
One atom of each set of equivalent atoms:
Ta 0.0000 0.0000 0.0000  12 Al 2.95, 4 Ni 3.08
Al 0.1251 0.1251 0.6251  6 Al 2.51-2.52
Ni 0.2500 0.2500 0.2500  12 Al 2.95, 4 Ta 3.08

Formation energy from the elements, eV/atom: 0.137



(3)
Density functional theory data (SCAN) for a PBEsol-optimized structure of LiHPt3.

abc: 3.9151 3.9151 3.9151
angles: 90.00 90.00 90.00
Last column: nearest neighbours and their distance in Å.
Space group Pm-3m (No. 221)
One atom of each set of equivalent atoms:
Li 0.0000 0.0000 0.0000  12 Pt 2.77
H 0.5000 0.5000 0.5000  6 Pt 1.96
Pt 0.0000 0.5000 0.5000  2 H 1.96

DFT total energy, eV/atom: -43.523



(4)
Density functional theory data (SCAN) for a PBEsol-optimized structure of ZrFe4Au.

abc: 6.8034 6.8034 6.8034
angles: 90.00 90.00 90.00
Last column: nearest neighbours and their distance in Å.
Space group F-43m (No. 216)
One atom of each set of equivalent atoms:
Zr 0.0000 0.0000 0.0000  12 Fe 2.82, 4 Au 2.95
Fe 0.1247 0.1247 0.6247  6 Fe 2.40-2.41
Au 0.2500 0.2500 0.2500  12 Fe 2.82, 4 Zr 2.95

Formation energy from the elements, eV/atom: -0.231



(5)
Density functional theory data (SCAN) for a PBEsol-optimized structure of LiMgZr2.

abc: 3.0744 3.0744 8.9470
angles: 90.00 90.00 90.00
Last column: nearest neighbours and their distance in Å.
Space group P4mm (No. 99)
One atom of each set of equivalent atoms:
Li 0.0000 0.0000 0.0000  4 Mg 2.97, 4 Li 3.07, 4 Zr 3.18
Mg 0.5000 0.5000 0.2270  4 Li 2.97, 4 Mg 3.07, 4 Zr 3.24
Zr 0.0000 0.0000 0.4951  8 Zr 3.07-3.09, 4 Mg 3.24
Zr 0.5000 0.5000 0.7403  8 Zr 3.07-3.09, 4 Li 3.18

Formation energy from the elements, eV/atom: 0.045



(6)
Density functional theory data (SCAN) for a PBEsol-optimized structure of Ca2OsBr.

abc: 5.2417 5.2417 3.1542
angles: 90.00 90.00 90.00
Last column: nearest neighbours and their distance in Å.
Space group P4/mmm (No. 123)
One atom of each set of equivalent atoms:
Ca 0.0000 0.5000 0.0000  4 Br 3.06, 4 Os 3.06, 2 Ca 3.15
Os 0.0000 0.0000 0.5000  8 Ca 3.06, 2 Os 3.15
Br 0.5000 0.5000 0.5000  8 Ca 3.06, 2 Br 3.15

E above lowest polymorph, meV per atom: 227
ΔE_f (raw), eV/atom: -0.224



(7)
Density functional theory data (SCAN) for a PBEsol-optimized structure of Ta2HgI.

abc: 6.7194 6.7194 6.7194
angles: 90.00 90.00 90.00
Last column: nearest neighbours and their distance in Å.
Space group Fm-3m (No. 225)
One atom of each set of equivalent atoms:
Ta 0.2500 0.2500 0.2500  4 I 2.91, 4 Hg 2.91
Hg 0.0000 0.0000 0.0000  8 Ta 2.91
I 0.0000 0.0000 0.5000  8 Ta 2.91

ΔE_f (raw), eV/atom: 0.863



(8)
Density functional theory data (SCAN) for a PBEsol-optimized structure of CaLa2Zn.

abc: 3.6327 3.6327 9.0830
angles: 90.00 90.00 90.00
Last column: nearest neighbours and their distance in Å.
Space group P4mm (No. 99)
One atom of each set of equivalent atoms:
Ca 0.0000 0.0000 0.0000  4 Zn 3.14
La 0.0000 0.0000 0.5975  4 Zn 3.17
La 0.5000 0.5000 0.3236  8 La 3.58-3.63, 4 Ca 3.90
Zn 0.5000 0.5000 0.8021  4 Ca 3.14, 4 La 3.17

Formation energy from the elements, eV/atom: -0.140